No. 1
Entry from the Alexandria database: crystalline RbH3Os at its relaxed geometry (PBE).

Structure (POSCAR):
```
RbH3Os
1.0
3.8276 0.0000 0.0000
0.0000 3.8276 0.0000
0.0000 0.0000 3.8276
Rb H Os
1 3 1
direct
0.0000 0.0000 0.0000
0.0000 0.5000 0.5000
0.5000 0.0000 0.5000
0.5000 0.5000 0.0000
0.5000 0.5000 0.5000
```

The energy above the most stable polymorph in this dataset is 0 meV/atom. The total magnetization is 0.00 μB per formula unit. The electronic total energy is -3.995 eV per atom.



No. 2
Entry from the Alexandria database: crystalline Rb2H5Os at its relaxed geometry (PBE).

Structure (POSCAR):
```
Rb2H5Os
1.0
6.1309 0.0000 0.0000
0.0000 6.1309 0.0000
0.0000 0.0000 8.0399
Rb H Os
4 10 2
direct
0.0000 0.5000 0.0000
0.0000 0.5000 0.5000
0.5000 0.0000 0.0000
0.5000 0.0000 0.5000
0.0000 0.0000 0.0499
0.2009 0.2009 0.2499
0.2009 0.7991 0.2499
0.2991 0.2991 0.7499
0.2991 0.7009 0.7499
0.5000 0.5000 0.5499
0.7009 0.2991 0.7499
0.7009 0.7009 0.7499
0.7991 0.2009 0.2499
0.7991 0.7991 0.2499
0.0000 0.0000 0.2471
0.5000 0.5000 0.7471
```

The total magnetization is 1.00 μB per formula unit. The electronic total energy is -3.675 eV per atom.



No. 3
Entry from the Alexandria database: crystalline RbH3Os at its relaxed geometry (PBE).

Structure (POSCAR):
```
RbH3Os
1.0
4.1094 0.0000 0.0000
0.0000 4.1094 0.0000
0.0000 0.0000 4.1094
Rb H Os
1 3 1
direct
0.0000 0.0000 0.0000
0.0000 0.0000 0.5000
0.0000 0.5000 0.0000
0.5000 0.0000 0.0000
0.5000 0.5000 0.5000
```

The energy above the most stable polymorph in this dataset is 1965 meV/atom. The total magnetization is 0.00 μB per formula unit. The electronic total energy is -2.030 eV per atom.



No. 4
Entry from the Alexandria database: crystalline Rb3H6Os at its relaxed geometry (PBE).

Structure (POSCAR):
```
Rb3H6Os
1.0
5.3680 -3.0991 0.0000
5.3680 3.0991 0.0000
-3.5777 0.0000 5.0614
Rb H Os
3 6 1
direct
0.0000 0.0000 0.0000
0.2500 0.2500 0.7500
0.7500 0.7500 0.2500
0.3019 0.6968 0.6968
0.3026 0.3026 0.3013
0.3032 0.6981 0.3032
0.6968 0.3019 0.6968
0.6974 0.6974 0.6987
0.6981 0.3032 0.3032
0.5000 0.5000 0.5000
```

The total magnetization is 1.00 μB per formula unit. The electronic total energy is -3.545 eV per atom.



No. 5
Entry from the Alexandria database: crystalline Rb2HOs at its relaxed geometry (PBE).

Structure (POSCAR):
```
Rb2HOs
1.0
8.1594 0.0000 0.0000
0.0000 8.1594 0.0000
0.0000 0.0000 8.1594
Rb H Os
8 4 4
direct
0.2500 0.2500 0.2500
0.2500 0.2500 0.7500
0.2500 0.7500 0.2500
0.2500 0.7500 0.7500
0.7500 0.2500 0.2500
0.7500 0.2500 0.7500
0.7500 0.7500 0.2500
0.7500 0.7500 0.7500
0.0000 0.0000 0.0000
0.0000 0.5000 0.5000
0.5000 0.0000 0.5000
0.5000 0.5000 0.0000
0.0000 0.0000 0.5000
0.0000 0.5000 0.0000
0.5000 0.0000 0.0000
0.5000 0.5000 0.5000
```

The energy above the most stable polymorph in this dataset is 610 meV/atom. The total magnetization is 3.00 μB per formula unit. The electronic total energy is -2.570 eV per atom.



No. 6
Entry from the Alexandria database: crystalline Rb3H7Os at its relaxed geometry (PBE).

Structure (POSCAR):
```
Rb3H7Os
1.0
0.0000 4.6205 4.2344
4.3139 0.0000 4.2344
4.3139 4.6205 0.0000
Rb H Os
3 7 1
direct
0.0000 0.0000 0.0000
0.2383 0.2383 0.2617
0.7383 0.7383 0.7617
0.2107 0.4330 0.7893
0.2963 0.6733 0.3267
0.3528 0.7282 0.6472
0.4330 0.2107 0.5670
0.6733 0.2963 0.7037
0.6841 0.6841 0.3159
0.7282 0.3528 0.2718
0.4837 0.4837 0.5163
```

The total magnetization is 0.11 μB per formula unit. The electronic total energy is -3.675 eV per atom.



No. 7
Entry from the Alexandria database: crystalline Rb2HOs at its relaxed geometry (PBE).

Structure (POSCAR):
```
Rb2HOs
1.0
12.0420 0.0000 0.0000
0.0000 12.0420 0.0000
0.0000 0.0000 3.4879
Rb H Os
8 4 4
direct
0.0530 0.2500 0.1250
0.2500 0.5530 0.3750
0.2500 0.9470 0.8750
0.4470 0.2500 0.6250
0.5530 0.7500 0.6250
0.7500 0.0530 0.8750
0.7500 0.4470 0.3750
0.9470 0.7500 0.1250
0.0000 0.0000 0.0000
0.0000 0.5000 0.2500
0.5000 0.0000 0.7500
0.5000 0.5000 0.5000
0.0000 0.0000 0.5000
0.0000 0.5000 0.7500
0.5000 0.0000 0.2500
0.5000 0.5000 0.0000
```

The energy above the most stable polymorph in this dataset is 0 meV/atom. The total magnetization is 1.19 μB per formula unit. The electronic total energy is -3.180 eV per atom.



No. 8
Entry from the Alexandria database: crystalline RbSiH2Os at its relaxed geometry (PBE).

Structure (POSCAR):
```
RbSiH2Os
1.0
3.6070 0.0000 0.0000
0.0000 3.6070 0.0000
0.0000 0.0000 6.9599
Rb Si H Os
1 1 2 1
direct
0.0000 0.0000 0.0000
0.0000 0.0000 0.5000
0.0000 0.5000 0.0000
0.5000 0.0000 0.0000
0.5000 0.5000 0.5000
```

The total magnetization is 0.84 μB per formula unit. The electronic total energy is -3.181 eV per atom.